Record 1
A plane-wave DFT calculation with PBE was carried out for a relaxed Ac2TbPmO6 crystal.

Computed properties:
magnetic moment: 0.0 μB per cell
density of states at the Fermi level: 0.0 states/eV per cell
formation energy from raw total energies: -3262 kJ/mol of formula units

```
data_Ac2TbPmO6
_chemical_formula_sum 'Ac4 Tb2 Pm2 O12'
_space_group_name_H-M_alt 'P 1 21/c 1'
_space_group_IT_number 14
_cell_length_a 6.099
_cell_length_b 6.294
_cell_length_c 10.710
_cell_angle_alpha 90.00
_cell_angle_beta 124.58
_cell_angle_gamma 90.00
loop_
_space_group_symop_operation_xyz
'x,y,z'
'-x,-y,-z'
'-x,y+1/2,-z+1/2'
'x,-y+1/2,z+1/2'
loop_
_atom_site_label
_atom_site_type_symbol
_atom_site_fract_x
_atom_site_fract_y
_atom_site_fract_z
Ac1 Ac 0.235 0.048 0.250
Tb1 Tb 0.000 0.000 0.500
Pm1 Pm 0.500 0.000 0.000
O1 O 0.122 0.200 0.931
O2 O 0.234 0.694 0.933
O3 O 0.372 0.059 0.746
```



Record 2
A plane-wave DFT calculation with PBE was carried out for a relaxed Ce2PaIr crystal.

Computed properties:
magnetic moment: 0.0 μB per cell
relative energy among the computed polymorphs: 0.000 eV/atom
density of states at the Fermi level: 5.9 states/eV per cell
E_form: -0.302 eV/atom

```
data_Ce2PaIr
_chemical_formula_sum 'Ce2 Pa1 Ir1'
_space_group_name_H-M_alt 'P 4/m m m'
_space_group_IT_number 123
_space_group_name_Hall '-P 4 2'
_cell_length_a 3.529
_cell_length_b 3.529
_cell_length_c 7.526
_cell_angle_alpha 90.00
_cell_angle_beta 90.00
_cell_angle_gamma 90.00
loop_
_atom_site_label
_atom_site_type_symbol
_atom_site_fract_x
_atom_site_fract_y
_atom_site_fract_z
Ce1 Ce 0.000 0.000 0.219
Pa1 Pa 0.500 0.500 0.500
Ir1 Ir 0.500 0.500 0.000
```



Record 3
A plane-wave DFT calculation with PBE was carried out for a relaxed Tc3BiMo crystal.

Computed properties:
magnetic moment: 1.5 μB per cell
relative energy among the computed polymorphs: 0.000 eV/atom
density of states at the Fermi level: 8.2 states/eV per cell
E_form: 1.492 eV/atom

```
data_Tc3BiMo
_chemical_formula_sum 'Tc3 Bi1 Mo1'
_space_group_name_H-M_alt 'P m -3 m'
_space_group_IT_number 221
_space_group_name_Hall '-P 4 2 3'
_cell_length_a 4.741
_cell_length_b 4.741
_cell_length_c 4.741
_cell_angle_alpha 90.00
_cell_angle_beta 90.00
_cell_angle_gamma 90.00
loop_
_atom_site_label
_atom_site_type_symbol
_atom_site_fract_x
_atom_site_fract_y
_atom_site_fract_z
Tc1 Tc 0.000 0.000 0.500
Bi1 Bi 0.500 0.500 0.500
Mo1 Mo 0.000 0.000 0.000
```



Record 4
A plane-wave DFT calculation with PBE was carried out for a relaxed ErHfW4 crystal.

Computed properties:
magnetic moment: 0.0 μB per cell
density of states at the Fermi level: 16.7 states/eV per cell
E_form: -0.012 eV/atom

```
data_ErHfW4
_chemical_formula_sum 'Er4 Hf4 W16'
_space_group_name_H-M_alt 'F -4 3 m'
_space_group_IT_number 216
_space_group_name_Hall 'F -4 2 3'
_cell_length_a 7.710
_cell_length_b 7.710
_cell_length_c 7.710
_cell_angle_alpha 90.00
_cell_angle_beta 90.00
_cell_angle_gamma 90.00
loop_
_atom_site_label
_atom_site_type_symbol
_atom_site_fract_x
_atom_site_fract_y
_atom_site_fract_z
Er1 Er 0.000 0.000 0.000
Hf1 Hf 0.250 0.250 0.750
W1 W 0.125 0.125 0.375
```